# 1
Entry from OQMD via LeMat-Bulk: an optimized crystal structure of Sc4Nb2Tl3C3 (PBE-GGA).

## Properties
crystal system = monoclinic
symmetry = No. 15
total energy = -7.18 eV/atom
total magnetization = 0.0 μB/cell

Cell and atoms, written as CIF:
```
data_Sc4Nb2Tl3C3
_cell_length_a 5.7559
_cell_length_b 5.7559
_cell_length_c 15.2661
_cell_angle_alpha 101.23
_cell_angle_beta 101.23
_cell_angle_gamma 60.14
_space_group_name_H-M_alt 'P 1'
_space_group_IT_number 1
loop_
_space_group_symop_operation_xyz
'x,y,z'
loop_
_atom_site_label
_atom_site_fract_x
_atom_site_fract_y
_atom_site_fract_z
C1 0.6581 0.1840 0.0000
C2 0.0000 0.5000 0.0000
C3 0.3419 0.8160 0.0000
C4 0.1840 0.6581 0.5000
C5 0.5000 0.0000 0.5000
C6 0.8160 0.3419 0.5000
Nb1 0.3501 0.5247 0.0727
Nb2 0.4753 0.6499 0.4273
Nb3 0.5247 0.3501 0.5727
Nb4 0.6499 0.4753 0.9273
Sc1 0.0381 0.1856 0.0836
Sc2 0.6944 0.8723 0.0836
Sc3 0.1277 0.3056 0.4164
Sc4 0.8144 0.9619 0.4164
Sc5 0.1856 0.0381 0.5836
Sc6 0.8723 0.6944 0.5836
Sc7 0.3056 0.1277 0.9164
Sc8 0.9619 0.8144 0.9164
Tl1 0.7325 0.5810 0.2474
Tl2 0.1037 0.8963 0.2500
Tl3 0.4190 0.2675 0.2526
Tl4 0.5810 0.7325 0.7474
Tl5 0.8963 0.1037 0.7500
Tl6 0.2675 0.4190 0.7526
```

# 2
Entry from OQMD via LeMat-Bulk: an optimized crystal structure of ZrCuNiSb (PBE-GGA).

## Properties
crystal system = cubic
symmetry = No. 216
total magnetization = 0.0 μB/cell
excess energy over the best structure of this formula in the dataset = 137 meV per atom

Cell and atoms, written as CIF:
```
data_ZrCuNiSb
_cell_length_a 4.5973
_cell_length_b 4.5973
_cell_length_c 4.5973
_cell_angle_alpha 60.00
_cell_angle_beta 60.00
_cell_angle_gamma 60.00
_space_group_name_H-M_alt 'P 1'
_space_group_IT_number 1
loop_
_space_group_symop_operation_xyz
'x,y,z'
loop_
_atom_site_label
_atom_site_fract_x
_atom_site_fract_y
_atom_site_fract_z
Cu1 0.7500 0.7500 0.7500
Ni1 0.5000 0.5000 0.5000
Sb1 0.0000 0.0000 0.0000
Zr1 0.2500 0.2500 0.2500
```

# 3
Entry from OQMD via LeMat-Bulk: an optimized crystal structure of Rb2AgSbCl6 (PBE-GGA).

## Properties
crystal system = monoclinic
symmetry = No. 12
excess energy over the best structure of this formula in the dataset = 11 meV per atom

Cell and atoms, written as CIF:
```
data_Rb2AgSbCl6
_cell_length_a 7.5303
_cell_length_b 7.5303
_cell_length_c 7.5297
_cell_angle_alpha 119.95
_cell_angle_beta 119.95
_cell_angle_gamma 60.06
_space_group_name_H-M_alt 'P 1'
_space_group_IT_number 1
loop_
_space_group_symop_operation_xyz
'x,y,z'
loop_
_atom_site_label
_atom_site_fract_x
_atom_site_fract_y
_atom_site_fract_z
Ag1 0.5000 0.5000 0.0000
Cl1 0.7516 0.7516 0.2506
Cl2 0.7525 0.2490 0.2522
Cl3 0.2490 0.7525 0.2522
Cl4 0.7510 0.2475 0.7478
Cl5 0.2475 0.7510 0.7478
Cl6 0.2484 0.2484 0.7494
Rb1 0.2501 0.2501 0.2501
Rb2 0.7499 0.7499 0.7499
Sb1 0.0000 0.0000 0.5000
```